An optimized crystal structure of TlIn2NiPb. Source: the Alexandria database, functional GGA-PBE.

Unit cell a=5.0463 b=5.0463 c=5.2685 alpha=90.00 beta=90.00 gamma=90.00
Last column: nearest neighbours and their distance in Å.
Positions (direct):
Tl1 0.0000 0.0000 0.0000  4 Pb 3.57, 8 In 3.65
In1 0.0000 0.5000 0.5000  2 Ni 2.52
In2 0.5000 0.0000 0.5000  2 Ni 2.52
Ni1 0.5000 0.5000 0.5000  4 In 2.52, 2 Pb 2.63
Pb1 0.5000 0.5000 0.0000  2 Ni 2.63

Calculated values
Uncorrected energy, eV per atom: -3.436
Total moment, μB/atom: 0.00
E above lowest polymorph, meV/atom: 0.0
SG: P4/mmm (123)
Formation energy, eV per atom: 0.030